# Ag2SbRh (PBE, relaxed)
data_Ag2SbRh
_cell_length_a 9.447
_cell_length_b 3.423
_cell_length_c 4.884
_cell_angle_alpha 90.00
_cell_angle_beta 110.70
_cell_angle_gamma 90.00
_symmetry_space_group_name_H-M 'C 1 m 1'
_symmetry_Int_Tables_number 8
_symmetry_space_group_name_Hall 'C -2y'
loop_
_atom_site_label
_atom_site_fract_x
_atom_site_fract_y
_atom_site_fract_z
Ag1 0.000 0.000 0.000
Ag2 0.247 0.000 0.837
Sb1 0.267 0.500 0.367
Rh1 0.493 0.000 0.477
# M_tot	0.0	Bohr magnetons per cell
# mass density	9.902	g cm⁻³
# raw total energy	-34.26	eV/cell

***

# AgSb2Rh (PBE, relaxed)
data_AgSb2Rh
_cell_length_a 3.5592
_cell_length_b 3.5592
_cell_length_c 24.3968
_cell_angle_alpha 90.00
_cell_angle_beta 90.00
_cell_angle_gamma 120.00
_symmetry_space_group_name_H-M 'R 3 m'
_symmetry_Int_Tables_number 160
_symmetry_space_group_name_Hall 'R 3 -2"'
loop_
_atom_site_label
_atom_site_fract_x
_atom_site_fract_y
_atom_site_fract_z
Ag1 0.0000 0.0000 0.0000
Sb1 0.0000 0.0000 0.2516
Sb2 0.0000 0.0000 0.4758
Rh1 0.0000 0.0000 0.7469
# M_tot	0.0	Bohr magnetons per cell
# mass density	8.456	g cm⁻³
# E above lowest polymorph	0.171	eV/atom
# raw total energy	-54.33	eV/cell

***

# AgSb2Rh (PBE, relaxed)
data_AgSb2Rh
_cell_length_a 6.912
_cell_length_b 6.912
_cell_length_c 6.912
_cell_angle_alpha 90.00
_cell_angle_beta 90.00
_cell_angle_gamma 90.00
_symmetry_space_group_name_H-M 'F -4 3 m'
_symmetry_Int_Tables_number 216
_symmetry_space_group_name_Hall 'F -4 2 3'
loop_
_atom_site_label
_atom_site_fract_x
_atom_site_fract_y
_atom_site_fract_z
Ag1 0.000 0.000 0.000
Sb1 0.000 0.000 0.500
Sb2 0.250 0.250 0.750
Rh1 0.250 0.250 0.250
# M_tot	0.0	Bohr magnetons per cell
# mass density	9.137	g cm⁻³
# E above lowest polymorph	0.379	eV/atom
# raw total energy	-69.11	eV/cell

***

# Ag2SbRh (PBE, relaxed)
data_Ag2SbRh
_cell_length_a 3.953
_cell_length_b 3.953
_cell_length_c 4.607
_cell_angle_alpha 90.00
_cell_angle_beta 90.00
_cell_angle_gamma 90.00
_symmetry_space_group_name_H-M 'P 4/m m m'
_symmetry_Int_Tables_number 123
_symmetry_space_group_name_Hall '-P 4 2'
loop_
_atom_site_label
_atom_site_fract_x
_atom_site_fract_y
_atom_site_fract_z
Ag1 0.000 0.500 0.000
Sb1 0.000 0.000 0.500
Rh1 0.500 0.500 0.500
# M_tot	0.0	Bohr magnetons per cell
# mass density	10.160	g cm⁻³
# raw total energy	-17.03	eV/cell

***

# AgSb2Rh (PBE, relaxed)
data_AgSb2Rh
_cell_length_a 4.148
_cell_length_b 4.148
_cell_length_c 9.421
_cell_angle_alpha 90.00
_cell_angle_beta 90.00
_cell_angle_gamma 90.00
_symmetry_space_group_name_H-M 'I -4 m 2'
_symmetry_Int_Tables_number 119
_symmetry_space_group_name_Hall 'I -4 -2'
loop_
_atom_site_label
_atom_site_fract_x
_atom_site_fract_y
_atom_site_fract_z
Ag1 0.000 0.000 0.000
Sb1 0.000 0.000 0.500
Sb2 0.000 0.500 0.250
Rh1 0.000 0.500 0.750
# M_tot	0.0	Bohr magnetons per cell
# mass density	9.309	g cm⁻³
# E above lowest polymorph	0.188	eV/atom
# raw total energy	-36.08	eV/cell

***

# AgSb2Rh (PBE, relaxed)
data_AgSb2Rh
_cell_length_a 4.136
_cell_length_b 3.699
_cell_length_c 10.756
_cell_angle_alpha 90.00
_cell_angle_beta 90.00
_cell_angle_gamma 90.00
_symmetry_space_group_name_H-M 'A m m 2'
_symmetry_Int_Tables_number 38
_symmetry_space_group_name_Hall 'A 2 -2'
loop_
_atom_site_label
_atom_site_fract_x
_atom_site_fract_y
_atom_site_fract_z
Ag1 0.000 0.000 0.000
Sb1 0.000 0.000 0.731
Sb2 0.500 0.000 0.435
Rh1 0.500 0.000 0.183
# M_tot	0.0	Bohr magnetons per cell
# mass density	9.167	g cm⁻³
# E above lowest polymorph	0.048	eV/atom
# raw total energy	-37.20	eV/cell

***

# AgSb2Rh (PBE, relaxed)
data_AgSb2Rh
_cell_length_a 3.213
_cell_length_b 4.196
_cell_length_c 12.863
_cell_angle_alpha 90.00
_cell_angle_beta 90.00
_cell_angle_gamma 90.00
_symmetry_space_group_name_H-M 'I m m 2'
_symmetry_Int_Tables_number 44
_symmetry_space_group_name_Hall 'I 2 -2'
loop_
_atom_site_label
_atom_site_fract_x
_atom_site_fract_y
_atom_site_fract_z
Ag1 0.000 0.000 0.000
Sb1 0.000 0.000 0.618
Sb2 0.000 0.500 0.840
Rh1 0.000 0.500 0.288
# M_tot	0.0	Bohr magnetons per cell
# mass density	8.701	g cm⁻³
# E above lowest polymorph	0.018	eV/atom
# raw total energy	-37.45	eV/cell

***

# Ag2SbRh (PBE, relaxed)
data_Ag2SbRh
_cell_length_a 7.721
_cell_length_b 7.721
_cell_length_c 5.297
_cell_angle_alpha 90.00
_cell_angle_beta 90.00
_cell_angle_gamma 90.00
_symmetry_space_group_name_H-M 'I -4 2 d'
_symmetry_Int_Tables_number 122
_symmetry_space_group_name_Hall 'I -4 2bw'
loop_
_atom_site_label
_atom_site_fract_x
_atom_site_fract_y
_atom_site_fract_z
Ag1 0.242 0.750 0.125
Sb1 0.000 0.000 0.500
Rh1 0.000 0.000 0.000
# M_tot	0.0	Bohr magnetons per cell
# mass density	9.264	g cm⁻³
# raw total energy	-64.76	eV/cell

***

# AgSb2Rh (PBE, relaxed)
data_AgSb2Rh
_cell_length_a 3.5102
_cell_length_b 3.5102
_cell_length_c 24.2312
_cell_angle_alpha 90.00
_cell_angle_beta 90.00
_cell_angle_gamma 120.00
_symmetry_space_group_name_H-M 'R -3 m'
_symmetry_Int_Tables_number 166
_symmetry_space_group_name_Hall '-R 3 2"'
loop_
_atom_site_label
_atom_site_fract_x
_atom_site_fract_y
_atom_site_fract_z
Ag1 0.0000 0.0000 0.0000
Sb1 0.0000 0.0000 0.2398
Rh1 0.0000 0.0000 0.5000
# M_tot	0.0	Bohr magnetons per cell
# mass density	8.753	g cm⁻³
# E above lowest polymorph	0.000	eV/atom
# raw total energy	-56.38	eV/cell

***

# Si2AgSbRh (PBE, relaxed)
data_Si2AgSbRh
_cell_length_a 4.613
_cell_length_b 4.613
_cell_length_c 5.155
_cell_angle_alpha 90.00
_cell_angle_beta 90.00
_cell_angle_gamma 90.00
_symmetry_space_group_name_H-M 'P 4/m m m'
_symmetry_Int_Tables_number 123
_symmetry_space_group_name_Hall '-P 4 2'
loop_
_atom_site_label
_atom_site_fract_x
_atom_site_fract_y
_atom_site_fract_z
Si1 0.000 0.500 0.000
Ag1 0.000 0.000 0.000
Sb1 0.500 0.500 0.500
Rh1 0.000 0.000 0.500
# M_tot	0.0	Bohr magnetons per cell
# mass density	5.885	g cm⁻³
# raw total energy	-20.24	eV/cell

***

# Sr2AgSb4Rh3 (PBE, relaxed)
data_Sr2AgSb4Rh3
_cell_length_a 4.658
_cell_length_b 4.658
_cell_length_c 10.759
_cell_angle_alpha 90.00
_cell_angle_beta 90.00
_cell_angle_gamma 90.00
_symmetry_space_group_name_H-M 'P -4 m 2'
_symmetry_Int_Tables_number 115
_symmetry_space_group_name_Hall 'P -4 -2'
loop_
_atom_site_label
_atom_site_fract_x
_atom_site_fract_y
_atom_site_fract_z
Sr1 0.000 0.500 0.249
Ag1 0.500 0.500 0.000
Sb1 0.000 0.000 0.500
Sb2 0.000 0.500 0.863
Sb3 0.500 0.500 0.500
Rh1 0.000 0.000 0.000
Rh2 0.000 0.500 0.619
# M_tot	0.0	Bohr magnetons per cell
# mass density	7.673	g cm⁻³
# raw total energy	-51.05	eV/cell

***

# SrAgSbRh (PBE, relaxed)
data_SrAgSbRh
_cell_length_a 4.220
_cell_length_b 4.220
_cell_length_c 11.310
_cell_angle_alpha 90.00
_cell_angle_beta 90.00
_cell_angle_gamma 90.00
_symmetry_space_group_name_H-M 'P 4/n m m'
_symmetry_Int_Tables_number 129
loop_
_symmetry_equiv_pos_as_xyz
'x,y,z'
'-x,-y,-z'
'-y+1/2,x,z'
'y+1/2,-x,-z'
'-x+1/2,-y+1/2,z'
'x+1/2,y+1/2,-z'
'y,-x+1/2,z'
'-y,x+1/2,-z'
'x+1/2,-y,-z'
'-x+1/2,y,z'
'-y,-x,-z'
'y,x,z'
'-x,y+1/2,-z'
'x,-y+1/2,z'
'y+1/2,x+1/2,-z'
'-y+1/2,-x+1/2,z'
loop_
_atom_site_label
_atom_site_fract_x
_atom_site_fract_y
_atom_site_fract_z
Sr1 0.250 0.250 0.234
Ag1 0.250 0.750 0.000
Sb1 0.250 0.250 0.639
Rh1 0.250 0.750 0.500
# M_tot	0.0	Bohr magnetons per cell
# mass density	6.929	g cm⁻³
# raw total energy	-35.78	eV/cell

***

# Sr2AgSb3Rh4 (PBE, relaxed)
data_Sr2AgSb3Rh4
_cell_length_a 4.434
_cell_length_b 4.434
_cell_length_c 11.171
_cell_angle_alpha 90.00
_cell_angle_beta 90.00
_cell_angle_gamma 90.00
_symmetry_space_group_name_H-M 'P -4 m 2'
_symmetry_Int_Tables_number 115
_symmetry_space_group_name_Hall 'P -4 -2'
loop_
_atom_site_label
_atom_site_fract_x
_atom_site_fract_y
_atom_site_fract_z
Sr1 0.000 0.500 0.242
Ag1 0.500 0.500 0.000
Sb1 0.000 0.000 0.000
Sb2 0.000 0.500 0.630
Rh1 0.000 0.000 0.500
Rh2 0.000 0.500 0.862
Rh3 0.500 0.500 0.500
# M_tot	0.0	Bohr magnetons per cell
# mass density	8.013	g cm⁻³
# raw total energy	-53.96	eV/cell